<a>
A geometry-optimized Ba2CdI structure. Source: Alexandria, functional PBE.

abc: 6.1809 6.1809 6.1809
angles: 60.00 60.00 60.00
Sites, in units of the cell vectors:
Ba 0.2500 0.2500 0.2500
Ba 0.7500 0.7500 0.7500
Cd 0.0000 0.0000 0.0000
I 0.5000 0.5000 0.5000

Fermi-level density of states = 4.67 states/eV/cell

=====

<b>
A geometry-optimized Ba2CdI structure. Source: Alexandria, functional PBE.

abc: 9.6248 9.6248 9.6248
angles: 28.97 28.97 28.97
Sites, in units of the cell vectors:
Ba 0.2449 0.2449 0.2449
Ba 0.7551 0.7551 0.7551
Cd 0.5000 0.5000 0.5000
I 0.0000 0.0000 0.0000

Fermi-level density of states = 4.87 states/eV/cell

=====

<c>
A geometry-optimized Ba2CdI structure. Source: Alexandria, functional PBE.

abc: 9.8637 9.8637 9.8637
angles: 27.92 27.92 27.92
Sites, in units of the cell vectors:
Ba 0.0000 0.0000 0.0000
Ba 0.1797 0.1797 0.1797
Cd 0.5893 0.5893 0.5893
I 0.7573 0.7573 0.7573

Fermi-level density of states = 4.29 states/eV/cell

=====

Verdict on stability: <a> comes out at the bottom.

=====

<a>
A geometry-optimized BaCd2I structure. Source: Alexandria, functional PBE.

abc: 7.6763 7.6763 7.6763
angles: 101.14 101.14 127.85
Sites, in units of the cell vectors:
Ba 0.0000 0.0000 0.0000
Ba 0.7500 0.2500 0.5000
Cd 0.1340 0.6250 0.0090
Cd 0.3750 0.3840 0.5090
Cd 0.6160 0.1250 0.9910
Cd 0.8750 0.8660 0.4910
I 0.2500 0.7500 0.5000
I 0.5000 0.5000 0.0000

Fermi-level density of states = 4.46 states/eV/cell

=====

<b>
A geometry-optimized BaCd2I structure. Source: Alexandria, functional PBE.

abc: 5.9251 5.9251 5.9251
angles: 60.00 60.00 60.00
Sites, in units of the cell vectors:
Ba 0.0000 0.0000 0.0000
Cd 0.2500 0.2500 0.2500
Cd 0.7500 0.7500 0.7500
I 0.5000 0.5000 0.5000

Fermi-level density of states = 2.85 states/eV/cell

=====

Verdict on stability: <b> comes out at the bottom.

=====

<a>
A geometry-optimized Ba2Cd2I structure. Source: Alexandria, functional PBE.

abc: 9.6971 9.6971 4.6915
angles: 90.00 90.00 90.00
Sites, in units of the cell vectors:
Ba 0.1887 0.3113 0.0000
Ba 0.3113 0.8113 0.0000
Ba 0.6887 0.1887 0.0000
Ba 0.8113 0.6887 0.0000
Cd 0.1042 0.6042 0.5000
Cd 0.3958 0.1042 0.5000
Cd 0.6042 0.8958 0.5000
Cd 0.8958 0.3958 0.5000
I 0.0000 0.0000 0.0000
I 0.5000 0.5000 0.0000

Fermi-level density of states = 9.99 states/eV/cell

=====

<b>
A geometry-optimized Ba2Cd2I structure. Source: Alexandria, functional PBE.

abc: 9.5046 9.5046 4.4960
angles: 90.00 90.00 90.00
Sites, in units of the cell vectors:
Ba 0.1820 0.3180 0.0000
Ba 0.3180 0.8180 0.0000
Ba 0.6820 0.1820 0.0000
Ba 0.8180 0.6820 0.0000
Cd 0.1103 0.6103 0.5000
Cd 0.3897 0.1103 0.5000
Cd 0.6103 0.8897 0.5000
Cd 0.8897 0.3897 0.5000
I 0.0000 0.0000 0.5000
I 0.5000 0.5000 0.5000

Fermi-level density of states = 12.77 states/eV/cell

=====

<c>
A geometry-optimized Ba2Cd2I structure. Source: Alexandria, functional PBE.

abc: 6.8774 6.8774 6.8774
angles: 122.12 122.12 86.37
Sites, in units of the cell vectors:
Ba 0.2500 0.7500 0.5000
Ba 0.7500 0.2500 0.5000
Cd 0.1369 0.1369 0.0000
Cd 0.8631 0.8631 0.0000
I 0.5000 0.5000 0.0000

Fermi-level density of states = 5.64 states/eV/cell

=====

Verdict on stability: <c> comes out at the bottom.

=====

<a>
A geometry-optimized BaCdIN2 structure. Source: Alexandria, functional PBE.

abc: 4.7383 4.7383 5.8030
angles: 90.00 90.00 90.00
Sites, in units of the cell vectors:
Ba 0.0000 0.0000 0.0000
Cd 0.5000 0.5000 0.5000
I 0.5000 0.5000 0.0000
N 0.0000 0.5000 0.5000
N 0.5000 0.0000 0.5000

Fermi-level density of states = 3.74 states/eV/cell

=====

<b>
A geometry-optimized BaCdIN2 structure. Source: Alexandria, functional PBE.

abc: 5.3545 5.3545 7.0314
angles: 90.00 90.00 90.00
Sites, in units of the cell vectors:
Ba 0.0000 0.0000 0.0000
Cd 0.5000 0.5000 0.5000
I 0.0000 0.0000 0.5000
N 0.0000 0.5000 0.0000
N 0.5000 0.0000 0.0000

Fermi-level density of states = 3.28 states/eV/cell

=====

Verdict on stability: <b> comes out at the bottom.

=====

<a>
A geometry-optimized BaCdIO2 structure. Source: Alexandria, functional PBE.

abc: 4.5706 4.5706 7.3580
angles: 90.00 90.00 90.00
Sites, in units of the cell vectors:
Ba 0.0000 0.0000 0.0000
Cd 0.5000 0.5000 0.5000
I 0.0000 0.0000 0.5000
O 0.0000 0.5000 0.0000
O 0.5000 0.0000 0.0000

Fermi-level density of states = 2.24 states/eV/cell

=====

<b>
A geometry-optimized BaCdIO2 structure. Source: Alexandria, functional PBE.

abc: 4.6866 4.6866 5.6584
angles: 90.00 90.00 90.00
Sites, in units of the cell vectors:
Ba 0.0000 0.0000 0.0000
Cd 0.5000 0.5000 0.5000
I 0.5000 0.5000 0.0000
O 0.0000 0.5000 0.5000
O 0.5000 0.0000 0.5000

Fermi-level density of states = 2.51 states/eV/cell

=====

Verdict on stability: <a> comes out at the bottom.

=====

<a>
A geometry-optimized BaCdSb2I structure. Source: Alexandria, functional PBE.

abc: 6.7122 6.7122 6.6334
angles: 90.00 90.00 90.00
Sites, in units of the cell vectors:
Ba 0.0000 0.0000 0.0000
Cd 0.5000 0.5000 0.5000
Sb 0.0000 0.5000 0.0000
Sb 0.5000 0.0000 0.0000
I 0.0000 0.0000 0.5000

Fermi-level density of states = 5.37 states/eV/cell

=====

<b>
A geometry-optimized BaCdSb2I structure. Source: Alexandria, functional PBE.

abc: 5.4997 5.4997 6.4435
angles: 90.00 90.00 90.00
Sites, in units of the cell vectors:
Ba 0.0000 0.0000 0.0000
Cd 0.5000 0.5000 0.5000
Sb 0.0000 0.5000 0.5000
Sb 0.5000 0.0000 0.5000
I 0.5000 0.5000 0.0000

Fermi-level density of states = 6.22 states/eV/cell

=====

Verdict on stability: <a> comes out at the bottom.

=====

<a>
A geometry-optimized BaCdTeI2 structure. Source: Alexandria, functional PBE.

abc: 5.8835 5.8835 5.8244
angles: 90.00 90.00 90.00
Sites, in units of the cell vectors:
Ba 0.0000 0.0000 0.0000
Cd 0.5000 0.5000 0.5000
Te 0.5000 0.5000 0.0000
I 0.0000 0.5000 0.5000
I 0.5000 0.0000 0.5000

Fermi-level density of states = 1.45 states/eV/cell

=====

<b>
A geometry-optimized BaCdTeI2 structure. Source: Alexandria, functional PBE.

abc: 6.7174 6.7174 7.0975
angles: 90.00 90.00 90.00
Sites, in units of the cell vectors:
Ba 0.0000 0.0000 0.0000
Cd 0.5000 0.5000 0.5000
Te 0.0000 0.0000 0.5000
I 0.0000 0.5000 0.0000
I 0.5000 0.0000 0.0000

Fermi-level density of states = 7.02 states/eV/cell

=====

Verdict on stability: <b> comes out at the bottom.

=====

<a>
A geometry-optimized Ba4CdIn structure. Source: Alexandria, functional PBE.

abc: 4.3108 4.3108 15.3302
angles: 90.00 90.00 90.00
Sites, in units of the cell vectors:
Ba 0.0000 0.0000 0.1323
Ba 0.0000 0.0000 0.8677
Ba 0.5000 0.5000 0.3682
Ba 0.5000 0.5000 0.6318
Cd 0.0000 0.0000 0.5000
In 0.5000 0.5000 0.0000

Fermi-level density of states = 5.17 states/eV/cell

=====

<b>
A geometry-optimized Ba4CdIn structure. Source: Alexandria, functional PBE.

abc: 7.3314 7.3314 7.3314
angles: 60.00 60.00 60.00
Sites, in units of the cell vectors:
Ba 0.1254 0.1254 0.1254
Ba 0.1254 0.1254 0.6238
Ba 0.1254 0.6238 0.1254
Ba 0.6238 0.1254 0.1254
Cd 0.7500 0.7500 0.7500
In 0.5000 0.5000 0.5000

Fermi-level density of states = 8.54 states/eV/cell

=====

<c>
A geometry-optimized Ba4CdIn structure. Source: Alexandria, functional PBE.

abc: 5.9865 5.9865 8.5821
angles: 90.00 90.00 90.00
Sites, in units of the cell vectors:
Ba 0.0000 0.5000 0.2438
Ba 0.0000 0.5000 0.7562
Ba 0.5000 0.0000 0.2438
Ba 0.5000 0.0000 0.7562
Cd 0.0000 0.0000 0.5000
In 0.5000 0.5000 0.0000

Fermi-level density of states = 8.98 states/eV/cell

=====

Verdict on stability: <b> comes out at the bottom.

=====

<a>
A geometry-optimized Ba3Cd2In structure. Source: Alexandria, functional PBE.

abc: 4.2742 4.2742 12.7396
angles: 90.00 90.00 90.00
Sites, in units of the cell vectors:
Ba 0.0000 0.0000 0.0000
Ba 0.0000 0.0000 0.3348
Ba 0.0000 0.0000 0.6652
Cd 0.5000 0.5000 0.1681
Cd 0.5000 0.5000 0.8319
In 0.5000 0.5000 0.5000

Fermi-level density of states = 3.63 states/eV/cell

=====

<b>
A geometry-optimized Ba3Cd2In structure. Source: Alexandria, functional PBE.

abc: 6.0339 6.0339 14.7583
angles: 90.00 90.00 120.00
Sites, in units of the cell vectors:
Ba 0.0000 0.0000 0.2490
Ba 0.0000 0.0000 0.7510
Ba 0.3333 0.6667 0.4166
Ba 0.3333 0.6667 0.9184
Ba 0.6667 0.3333 0.0816
Ba 0.6667 0.3333 0.5834
Cd 0.0000 0.0000 0.0000
Cd 0.0000 0.0000 0.5000
Cd 0.3333 0.6667 0.6703
Cd 0.6667 0.3333 0.3297
In 0.3333 0.6667 0.1693
In 0.6667 0.3333 0.8307

Fermi-level density of states = 8.66 states/eV/cell

=====

Verdict on stability: <a> comes out at the bottom.

=====

<a>
A geometry-optimized Ba2CdIn2 structure. Source: Alexandria, functional PBE.

abc: 10.0944 10.0944 3.9747
angles: 90.00 90.00 90.00
Sites, in units of the cell vectors:
Ba 0.1893 0.3107 0.0000
Ba 0.3107 0.8107 0.0000
Ba 0.6893 0.1893 0.0000
Ba 0.8107 0.6893 0.0000
Cd 0.0000 0.0000 0.0000
Cd 0.5000 0.5000 0.0000
In 0.1053 0.6053 0.5000
In 0.3947 0.1053 0.5000
In 0.6053 0.8947 0.5000
In 0.8947 0.3947 0.5000

Fermi-level density of states = 8.36 states/eV/cell

=====

<b>
A geometry-optimized Ba2CdIn2 structure. Source: Alexandria, functional PBE.

abc: 8.0865 8.0865 5.5665
angles: 90.00 90.00 90.00
Sites, in units of the cell vectors:
Ba 0.1669 0.3331 0.0000
Ba 0.3331 0.8331 0.0000
Ba 0.6669 0.1669 0.0000
Ba 0.8331 0.6669 0.0000
Cd 0.0000 0.0000 0.5000
Cd 0.5000 0.5000 0.5000
In 0.1359 0.6359 0.5000
In 0.3641 0.1359 0.5000
In 0.6359 0.8641 0.5000
In 0.8641 0.3641 0.5000

Fermi-level density of states = 9.20 states/eV/cell

=====

Verdict on stability: <a> comes out at the bottom.

=====

<a>
A geometry-optimized Ba2CdIn2 structure. Source: Alexandria, functional PBE.

abc: 7.0870 7.0870 10.8656
angles: 110.13 110.13 44.24
Sites, in units of the cell vectors:
Ba 0.1015 0.1015 0.3848
Ba 0.1585 0.1585 0.0319
Ba 0.8415 0.8415 0.9681
Ba 0.8985 0.8985 0.6152
Cd 0.2242 0.2242 0.7286
Cd 0.7758 0.7758 0.2715
In 0.3976 0.3976 0.3518
In 0.4737 0.4737 0.8528
In 0.5263 0.5263 0.1472
In 0.6024 0.6024 0.6482

Fermi-level density of states = 6.06 states/eV/cell

=====

<b>
A geometry-optimized Ba2CdIn2 structure. Source: Alexandria, functional PBE.

abc: 6.5749 6.5749 6.5749
angles: 117.00 117.00 95.29
Sites, in units of the cell vectors:
Ba 0.2500 0.7500 0.5000
Ba 0.7500 0.2500 0.5000
Cd 0.0000 0.0000 0.0000
In 0.3432 0.3432 0.0000
In 0.6568 0.6568 0.0000

Fermi-level density of states = 4.10 states/eV/cell

=====

<c>
A geometry-optimized Ba2CdIn2 structure. Source: Alexandria, functional PBE.

abc: 6.6996 6.6996 12.7250
angles: 115.81 115.81 46.58
Sites, in units of the cell vectors:
Ba 0.0845 0.0845 0.3868
Ba 0.3139 0.3139 0.8328
Ba 0.6861 0.6861 0.1672
Ba 0.9155 0.9155 0.6132
Cd 0.3727 0.3727 0.1476
Cd 0.6273 0.6273 0.8524
In 0.0826 0.0826 0.9431
In 0.3796 0.3796 0.3901
In 0.6204 0.6204 0.6099
In 0.9174 0.9174 0.0569

Fermi-level density of states = 9.18 states/eV/cell

=====

Verdict on stability: <b> comes out at the bottom.